Version i
## Ba2PdF6 (GGA-PBE)

Data for an optimized crystal structure of Ba2PdF6.

Cell: 9.2125 9.2125 6.2910 Å, 90.00 90.00 39.97°
Sites, in units of the cell vectors:
Ba (0.1606, 0.1606, 0.0000)
Ba (0.3394, 0.3394, 0.5000)
Ba (0.6606, 0.6606, 0.5000)
Ba (0.8394, 0.8394, 0.0000)
Pd (0.0000, 0.0000, 0.5000)
Pd (0.5000, 0.5000, 0.0000)
F (0.0070, 0.4930, 0.7500)
F (0.0744, 0.7598, 0.6579)
F (0.2402, 0.9256, 0.6579)
F (0.2598, 0.5744, 0.1579)
F (0.4256, 0.7402, 0.1579)
F (0.4930, 0.0070, 0.2500)
F (0.5070, 0.9930, 0.7500)
F (0.5744, 0.2598, 0.8421)
F (0.7402, 0.4256, 0.8421)
F (0.7598, 0.0744, 0.3421)
F (0.9256, 0.2402, 0.3421)
F (0.9930, 0.5070, 0.2500)

Values from the calculation:
The calculation puts the calculated density at 4.8 g/cm3. Its space-group type is Cmce.

***

Version ii
## Ba2PdF6 (GGA-PBE)

Data for an optimized crystal structure of Ba2PdF6.

Cell: 5.6595 5.6595 11.7689 Å, 90.00 90.00 90.00°
Sites, in units of the cell vectors:
Ba (0.0000, 0.0000, 0.1645)
Ba (0.0000, 0.0000, 0.8355)
Ba (0.5000, 0.5000, 0.3355)
Ba (0.5000, 0.5000, 0.6645)
Pd (0.0000, 0.0000, 0.5000)
Pd (0.5000, 0.5000, 0.0000)
F (0.1777, 0.1777, 0.3519)
F (0.1777, 0.1777, 0.6481)
F (0.2227, 0.2227, 0.0000)
F (0.2773, 0.7227, 0.5000)
F (0.3223, 0.6777, 0.1481)
F (0.3223, 0.6777, 0.8519)
F (0.6777, 0.3223, 0.1481)
F (0.6777, 0.3223, 0.8519)
F (0.7227, 0.2773, 0.5000)
F (0.7773, 0.7773, 0.0000)
F (0.8223, 0.8223, 0.3519)
F (0.8223, 0.8223, 0.6481)

Values from the calculation:
The calculation puts the calculated density at 4.4 g/cm3. Its space-group type is P4_2/mnm.

***

Which is most stable, and by how much? version i, by 14.4 kJ/mol of atoms.

***

Version i
## BaPd3F (GGA-PBE)

Data for an optimized crystal structure of BaPd3F.

Cell: 4.6812 4.6812 4.6812 Å, 90.00 90.00 90.00°
Sites, in units of the cell vectors:
Ba (0.0000, 0.0000, 0.0000)
Pd (0.0000, 0.5000, 0.5000)
Pd (0.5000, 0.0000, 0.5000)
Pd (0.5000, 0.5000, 0.0000)
F (0.5000, 0.5000, 0.5000)

Values from the calculation:
The calculation puts the calculated density at 7.7 g/cm3. Its space-group type is Pm-3m.

***

Version ii
## BaPd3F (GGA-PBE)

Data for an optimized crystal structure of BaPd3F.

Cell: 5.4652 5.4652 5.4652 Å, 90.00 90.00 90.00°
Sites, in units of the cell vectors:
Ba (0.0000, 0.0000, 0.0000)
Pd (0.0000, 0.0000, 0.5000)
Pd (0.0000, 0.5000, 0.0000)
Pd (0.5000, 0.0000, 0.0000)
F (0.5000, 0.5000, 0.5000)

Values from the calculation:
The calculation puts the calculated density at 4.8 g/cm3. Its space-group type is Pm-3m.

***

Which is most stable, and by how much? version i, by 104.4 kJ/mol of atoms.

***

Version i
## BaPtF3 (GGA-PBE)

Data for an optimized crystal structure of BaPtF3.

Cell: 4.5455 4.5455 4.5455 Å, 90.00 90.00 90.00°
Sites, in units of the cell vectors:
Ba (0.0000, 0.0000, 0.0000)
Pt (0.5000, 0.5000, 0.5000)
F (0.0000, 0.5000, 0.5000)
F (0.5000, 0.0000, 0.5000)
F (0.5000, 0.5000, 0.0000)

Values from the calculation:
The calculation puts the calculated density at 6.9 g/cm3. Its space-group type is Pm-3m.

***

Version ii
## BaPtF3 (GGA-PBE)

Data for an optimized crystal structure of BaPtF3.

Cell: 5.0603 5.0603 5.0603 Å, 90.00 90.00 90.00°
Sites, in units of the cell vectors:
Ba (0.0000, 0.0000, 0.0000)
Pt (0.5000, 0.5000, 0.5000)
F (0.0000, 0.0000, 0.5000)
F (0.0000, 0.5000, 0.0000)
F (0.5000, 0.0000, 0.0000)

Values from the calculation:
The calculation puts the calculated density at 5.0 g/cm3. Its space-group type is Pm-3m.

***

Which is most stable, and by how much? version i, by 39.4 kJ/mol of atoms.

***

Version i
## RbBaF4 (GGA-PBE)

Data for an optimized crystal structure of RbBaF4.

Cell: 4.2769 4.2769 7.4087 Å, 90.00 90.00 90.00°
Sites, in units of the cell vectors:
Rb (0.0000, 0.0000, 0.0000)
Ba (0.0000, 0.0000, 0.5000)
F (0.0000, 0.5000, 0.2774)
F (0.0000, 0.5000, 0.7226)
F (0.5000, 0.0000, 0.2774)
F (0.5000, 0.0000, 0.7226)

Values from the calculation:
The calculation puts the calculated density at 3.7 g/cm3. Its space-group type is P4/mmm.

***

Version ii
## RbBaF4 (GGA-PBE)

Data for an optimized crystal structure of RbBaF4.

Cell: 5.2037 5.2037 5.2037 Å, 60.00 60.00 60.00°
Sites, in units of the cell vectors:
Rb (0.0000, 0.0000, 0.0000)
Ba (0.2500, 0.2500, 0.2500)
F (0.1274, 0.6242, 0.6242)
F (0.6242, 0.1274, 0.6242)
F (0.6242, 0.6242, 0.1274)
F (0.6242, 0.6242, 0.6242)

Values from the calculation:
The calculation puts the calculated density at 5.0 g/cm3. Its space-group type is F-43m.

***

Which is most stable, and by how much? version i, by 54.4 kJ/mol of atoms.

***

Version i
## Rb2BaF4 (GGA-PBE)

Data for an optimized crystal structure of Rb2BaF4.

Cell: 8.1340 8.1340 8.1340 Å, 143.47 143.47 52.62°
Sites, in units of the cell vectors:
Rb (0.1460, 0.1460, 0.0000)
Rb (0.8540, 0.8540, 0.0000)
Ba (0.5000, 0.5000, 0.0000)
F (0.0000, 0.5000, 0.5000)
F (0.3241, 0.3241, 0.0000)
F (0.5000, 0.0000, 0.5000)
F (0.6759, 0.6759, 0.0000)

Values from the calculation:
The calculation puts the calculated density at 3.4 g/cm3. Its space-group type is I4/mmm.

***

Version ii
## Rb2BaF4 (GGA-PBE)

Data for an optimized crystal structure of Rb2BaF4.

Cell: 8.1760 8.1760 11.4247 Å, 90.00 90.00 90.00°
Sites, in units of the cell vectors:
Rb (0.0000, 0.2376, 0.0000)
Rb (0.0000, 0.7624, 0.5000)
Rb (0.2376, 0.0000, 0.7500)
Rb (0.2568, 0.2568, 0.3750)
Rb (0.2568, 0.7432, 0.1250)
Rb (0.7432, 0.2568, 0.6250)
Rb (0.7432, 0.7432, 0.8750)
Rb (0.7624, 0.0000, 0.2500)
Ba (0.2403, 0.5000, 0.7500)
Ba (0.5000, 0.2403, 0.0000)
Ba (0.5000, 0.7597, 0.5000)
Ba (0.7597, 0.5000, 0.2500)
F (0.0275, 0.2700, 0.7524)
F (0.0275, 0.7300, 0.7476)
F (0.2700, 0.0275, 0.9976)
F (0.2700, 0.4685, 0.9785)
F (0.2700, 0.5315, 0.5215)
F (0.2700, 0.9725, 0.5024)
F (0.4685, 0.2700, 0.7715)
F (0.4685, 0.7300, 0.7285)
F (0.5315, 0.2700, 0.2285)
F (0.5315, 0.7300, 0.2715)
F (0.7300, 0.0275, 0.0024)
F (0.7300, 0.4685, 0.0215)
F (0.7300, 0.5315, 0.4785)
F (0.7300, 0.9725, 0.4976)
F (0.9725, 0.2700, 0.2476)
F (0.9725, 0.7300, 0.2524)

Values from the calculation:
The calculation puts the calculated density at 3.3 g/cm3. Its space-group type is P4_122.

***

Which is most stable, and by how much? version ii, by 6.1 kJ/mol of atoms.

***

Version i
## Rb2BaF (GGA-PBE)

Data for an optimized crystal structure of Rb2BaF.

Cell: 6.9827 6.9827 6.9827 Å, 60.00 60.00 60.00°
Sites, in units of the cell vectors:
Rb (0.2500, 0.2500, 0.2500)
Rb (0.7500, 0.7500, 0.7500)
Ba (0.0000, 0.0000, 0.0000)
F (0.5000, 0.5000, 0.5000)

Values from the calculation:
The calculation puts the calculated density at 2.3 g/cm3. Its space-group type is Fm-3m.

***

Version ii
## Rb2BaF (GGA-PBE)

Data for an optimized crystal structure of Rb2BaF.

Cell: 8.7103 8.7103 8.7103 Å, 120.11 120.11 89.81°
Sites, in units of the cell vectors:
Rb (0.0000, 0.0000, 0.0000)
Rb (0.0000, 0.0000, 0.5000)
Rb (0.0000, 0.5000, 0.0000)
Rb (0.5000, 0.0000, 0.5000)
Ba (0.3750, 0.6250, 0.7500)
Ba (0.6250, 0.3750, 0.2500)
F (0.1250, 0.8750, 0.2500)
F (0.8750, 0.1250, 0.7500)

Values from the calculation:
The calculation puts the calculated density at 2.3 g/cm3. Its space-group type is I4_1/amd.

***

Which is most stable, and by how much? version ii, by 69.9 kJ/mol of atoms.